Entry 1:
Material: Li2CuRe
Method: DFT, GGA-PBEsol
State: optimized geometry

Lattice parameters (Å, degrees): 2.463 4.129 5.302 90.00 90.00 90.00
Space group Pmm2 (No. 25)
Inequivalent atoms, fractional coordinates:
Li 0.000 0.000 0.000 (multiplicity 1)
Li 0.500 0.500 0.230 (multiplicity 1)
Cu 0.500 0.500 0.702 (multiplicity 1)
Re 0.000 0.000 0.515 (multiplicity 1)

excess energy over the best structure of this formula in the dataset = 0.192 eV/f.u.

---

Entry 2:
Material: Li2CuRe
Method: DFT, GGA-PBEsol
State: optimized geometry

Lattice parameters (Å, degrees): 9.460 2.474 4.616 90.00 105.14 90.00
Space group C2/m (No. 12)
Inequivalent atoms, fractional coordinates:
Li 0.238 0.000 0.249 (multiplicity 4)
Cu 0.000 0.500 0.000 (multiplicity 2)
Re 0.000 0.000 0.500 (multiplicity 2)

excess energy over the best structure of this formula in the dataset = 0.000 eV/f.u.

---

Entry 3:
Material: LiCuRe
Method: DFT, GGA-PBEsol
State: optimized geometry

Lattice parameters (Å, degrees): 5.561 5.561 5.561 90.00 90.00 90.00
Space group F-43m (No. 216)
Inequivalent atoms, fractional coordinates:
Li 0.000 0.000 0.000 (multiplicity 4)
Cu 0.250 0.250 0.750 (multiplicity 4)
Re 0.000 0.000 0.500 (multiplicity 4)

---

Entry 4:
Material: Li2CuRe
Method: DFT, GGA-PBEsol
State: optimized geometry

Lattice parameters (Å, degrees): 5.770 5.770 5.770 90.00 90.00 90.00
Space group Fm-3m (No. 225)
Inequivalent atoms, fractional coordinates:
Li 0.250 0.250 0.250 (multiplicity 8)
Cu 0.000 0.000 0.000 (multiplicity 4)
Re 0.000 0.000 0.500 (multiplicity 4)

excess energy over the best structure of this formula in the dataset = 2.348 eV/f.u.

---

Entry 5:
Material: LiCu2Re
Method: DFT, GGA-PBEsol
State: optimized geometry

Lattice parameters (Å, degrees): 5.833 5.833 5.833 90.00 90.00 90.00
Space group Fm-3m (No. 225)
Inequivalent atoms, fractional coordinates:
Li 0.000 0.000 0.000 (multiplicity 4)
Cu 0.250 0.250 0.250 (multiplicity 8)
Re 0.000 0.000 0.500 (multiplicity 4)

excess energy over the best structure of this formula in the dataset = 0.955 eV/f.u.

---

Entry 6:
Material: LiCu2Rh2
Method: DFT, GGA-PBEsol
State: optimized geometry

Lattice parameters (Å, degrees): 3.331 3.331 12.335 90.00 90.00 90.00
Space group I4/mmm (No. 139)
Inequivalent atoms, fractional coordinates:
Li 0.000 0.000 0.000 (multiplicity 2)
Cu 0.000 0.500 0.250 (multiplicity 4)
Rh 0.000 0.000 0.401 (multiplicity 4)

---

Volume per entry: 53.9 104.3 171.9 192.1 198.5 136.9 Å³ per cell
Electronic total energy per entry: -5.068 -5.116 -5.383 -4.529 -5.466 -4.983 eV per atom